Density functional theory data (GGA+U) for a geometry-optimized LaUMnO6 structure.

* volume: 14.5 Å³ per atom
* SG: P-31c (163)
* E: -8.64 eV per atom

a = 5.361 Å, b = 5.361 Å, c = 10.479 Å
α = 90.00°, β = 90.00°, γ = 120.00°
Positions (direct):
La1 0.000 0.000 0.000
La2 0.000 0.000 0.500
U1 0.333 0.667 0.250
U2 0.667 0.333 0.750
Mn1 0.333 0.667 0.750
Mn2 0.667 0.333 0.250
O1 0.014 0.370 0.644
O2 0.014 0.645 0.856
O3 0.355 0.370 0.856
O4 0.355 0.986 0.644
O5 0.370 0.014 0.144
O6 0.370 0.355 0.356
O7 0.630 0.645 0.644
O8 0.630 0.986 0.856
O9 0.645 0.014 0.356
O10 0.645 0.630 0.144
O11 0.986 0.355 0.144
O12 0.986 0.630 0.356